This record from Alexandria describes CoAu4Cl after structural relaxation. The functional is PBE.

Computed properties:
Volume ... 119 Å³/cell
Space group ... F-43m
Uncorrected energy ... -3.194 eV/atom

abc: 5.5249 5.5249 5.5249
angles: 60.00 60.00 60.00
Fractional coordinates of all 6 atoms:
1 Co 0.0000 0.0000 0.0000
2 Au 0.8755 0.3748 0.3748
3 Au 0.3748 0.8755 0.3748
4 Au 0.3748 0.3748 0.3748
5 Au 0.3748 0.3748 0.8755
6 Cl 0.7500 0.7500 0.7500